# 1
# KTaSb

A relaxed KTaSb crystal (PBE, Alexandria via LeMat-Bulk). Values from VASP.

Cell and atoms, written as Quantum ESPRESSO input:
```
&SYSTEM
  ibrav = 0, nat = 3, ntyp = 3
/
ATOMIC_SPECIES
K 39.10 K.upf
Sb 121.76 Sb.upf
Ta 180.95 Ta.upf
CELL_PARAMETERS angstrom
5.2773 0.0000 0.0000
-2.6387 4.5703 0.0000
0.0000 0.0000 3.1033
ATOMIC_POSITIONS crystal
K 0.0000 0.0000 0.0005
Sb 0.6667 0.3333 0.4999
Ta 0.3333 0.6667 0.4996
```

Values from the calculation:
excess energy over the best structure of this formula in the dataset	0.954	eV per atom
space group	P-6m2
raw formation energy	0.85	eV/atom



# 2
# SrCa2Co

A relaxed SrCa2Co crystal (PBE, Alexandria via LeMat-Bulk). Values from VASP.

Cell and atoms, written as Quantum ESPRESSO input:
```
&SYSTEM
  ibrav = 0, nat = 4, ntyp = 3
/
ATOMIC_SPECIES
Sr 87.62 Sr.upf
Ca 40.08 Ca.upf
Co 58.93 Co.upf
CELL_PARAMETERS angstrom
-0.9784 6.5987 0.7364
-2.1474 4.9253 4.0215
4.0220 4.1155 3.5275
ATOMIC_POSITIONS crystal
Sr 0.8130 0.8130 0.7404
Ca 0.9903 0.9903 0.0701
Ca 0.1701 0.1701 0.3697
Co 0.5266 0.5266 0.3198
```

Values from the calculation:
excess energy over the best structure of this formula in the dataset	0.007	eV per atom
space group	Cm
ΔE_f	262	meV per atom



# 3
# CeSmTlPb

A relaxed CeSmTlPb crystal (PBE, Alexandria via LeMat-Bulk). Values from VASP.

Cell and atoms, written as Quantum ESPRESSO input:
```
&SYSTEM
  ibrav = 0, nat = 4, ntyp = 4
/
ATOMIC_SPECIES
Ce 140.12 Ce.upf
Sm 150.36 Sm.upf
Tl 204.38 Tl.upf
Pb 207.20 Pb.upf
CELL_PARAMETERS angstrom
-4.5549 0.2628 2.2453
1.0190 -4.2698 2.5668
3.5655 4.4525 0.9538
ATOMIC_POSITIONS crystal
Ce 0.7500 0.2500 0.5000
Sm 0.2500 0.7500 0.5000
Tl 0.5000 0.5000 0.0000
Pb 0.0000 0.0000 0.0000
```

Values from the calculation:
excess energy over the best structure of this formula in the dataset	0.000	eV per atom
space group	I-4m2
ΔE_f	-380	meV per atom



# 4
# LaTm2Ir

A relaxed LaTm2Ir crystal (PBE, Alexandria via LeMat-Bulk). Values from VASP.

Cell and atoms, written as Quantum ESPRESSO input:
```
&SYSTEM
  ibrav = 0, nat = 4, ntyp = 3
/
ATOMIC_SPECIES
La 138.91 La.upf
Tm 168.93 Tm.upf
Ir 192.22 Ir.upf
CELL_PARAMETERS angstrom
-4.0940 0.5111 -0.0768
-2.1271 -0.8947 -3.4209
-3.0923 -7.8870 1.4967
ATOMIC_POSITIONS crystal
La 0.5023 0.5023 0.4930
Tm 0.0528 0.0528 0.8415
Tm 0.2789 0.2789 0.1632
Ir 0.6659 0.6659 0.0023
```

Values from the calculation:
excess energy over the best structure of this formula in the dataset	0.161	eV per atom
space group	R3m
ΔE_f	-416	meV per atom